The following is a DFT calculation (GGA-PBE) of a relaxed structure of TaMnSbTe2.

CIF file:
```
data_TaMnSbTe2
_chemical_formula_sum 'Ta1 Mn1 Sb1 Te2'
_cell_length_a 5.382
_cell_length_b 5.382
_cell_length_c 5.478
_cell_angle_alpha 90.00
_cell_angle_beta 90.00
_cell_angle_gamma 90.00
_space_group_name_H-M_alt 'P 4/m m m'
_space_group_IT_number 123
_space_group_name_Hall '-P 4 2'
loop_
_atom_site_label
_atom_site_type_symbol
_atom_site_fract_x
_atom_site_fract_y
_atom_site_fract_z
_atom_site_occupancy
Ta1 Ta 0.000 0.000 0.000 1
Mn1 Mn 0.500 0.500 0.500 1
Sb1 Sb 0.000 0.000 0.500 1
Te1 Te 0.000 0.500 0.000 1
```

Properties
* distance to the lowest polymorph of the same formula: 0.0 meV per atom
* formation energy from raw total energies: 0.64 eV/atom
* uncorrected energy: -5.64 eV per atom

The following is a DFT calculation (GGA-PBE) of a relaxed structure of CsMgHg.

CIF file:
```
data_CsMgHg
_chemical_formula_sum 'Cs4 Mg4 Hg4'
_cell_length_a 8.884
_cell_length_b 7.301
_cell_length_c 7.304
_cell_angle_alpha 90.00
_cell_angle_beta 90.00
_cell_angle_gamma 90.00
_space_group_name_H-M_alt 'A e m 2'
_space_group_IT_number 39
loop_
_space_group_symop_operation_xyz
'x,y,z'
'-x,-y,z'
'-x,y+1/2,z'
'x,-y+1/2,z'
'x,y+1/2,z+1/2'
'-x,-y+1/2,z+1/2'
'-x,y,z+1/2'
'x,-y,z+1/2'
loop_
_atom_site_label
_atom_site_type_symbol
_atom_site_fract_x
_atom_site_fract_y
_atom_site_fract_z
_atom_site_occupancy
Cs1 Cs 0.151 0.250 0.000 1
Mg1 Mg 0.500 0.000 0.251 1
Hg1 Hg 0.344 0.250 0.501 1
```

Properties
* E_form: -14.4 kJ per mole of atoms
* distance to the lowest polymorph of the same formula: 0.0 meV per atom
* uncorrected energy: -1.07 eV per atom

The following is a DFT calculation (GGA-PBE) of a relaxed structure of MgMnBr2.

CIF file:
```
data_MgMnBr2
_chemical_formula_sum 'Mg4 Mn4 Br8'
_cell_length_a 7.850
_cell_length_b 7.850
_cell_length_c 9.720
_cell_angle_alpha 90.00
_cell_angle_beta 90.00
_cell_angle_gamma 90.00
_space_group_name_H-M_alt 'I -4 2 d'
_space_group_IT_number 122
_space_group_name_Hall 'I -4 2bw'
loop_
_atom_site_label
_atom_site_type_symbol
_atom_site_fract_x
_atom_site_fract_y
_atom_site_fract_z
_atom_site_occupancy
Mg1 Mg 0.000 0.000 0.000 1
Mn1 Mn 0.000 0.000 0.500 1
Br1 Br 0.134 0.250 0.625 1
```

Properties
* distance to the lowest polymorph of the same formula: 351.8 meV per atom
* formation energy from raw total energies: -0.19 eV/atom
* uncorrected energy: -3.72 eV per atom

The following is a DFT calculation (GGA-PBE) of a relaxed structure of CaZn4Ag2.

CIF file:
```
data_CaZn4Ag2
_chemical_formula_sum 'Ca2 Zn8 Ag4'
_cell_length_a 7.757
_cell_length_b 7.757
_cell_length_c 5.727
_cell_angle_alpha 90.00
_cell_angle_beta 90.00
_cell_angle_gamma 90.00
_space_group_name_H-M_alt 'I 4/m m m'
_space_group_IT_number 139
_space_group_name_Hall '-I 4 2'
loop_
_atom_site_label
_atom_site_type_symbol
_atom_site_fract_x
_atom_site_fract_y
_atom_site_fract_z
_atom_site_occupancy
Ca1 Ca 0.000 0.000 0.000 1
Zn1 Zn 0.000 0.226 0.500 1
Ag1 Ag 0.000 0.500 0.250 1
```

Properties
* E_form: 13.7 kJ per mole of atoms
* distance to the lowest polymorph of the same formula: 321.8 meV per atom
* uncorrected energy: -1.69 eV per atom

The following is a DFT calculation (GGA-PBE) of a relaxed structure of MgCo2As.

CIF file:
```
data_MgCo2As
_chemical_formula_sum 'Mg2 Co4 As2'
_cell_length_a 3.626
_cell_length_b 3.626
_cell_length_c 7.946
_cell_angle_alpha 90.00
_cell_angle_beta 90.00
_cell_angle_gamma 90.00
_space_group_name_H-M_alt 'I -4 m 2'
_space_group_IT_number 119
_space_group_name_Hall 'I -4 -2'
loop_
_atom_site_label
_atom_site_type_symbol
_atom_site_fract_x
_atom_site_fract_y
_atom_site_fract_z
_atom_site_occupancy
Mg1 Mg 0.000 0.000 0.000 1
Co1 Co 0.000 0.000 0.500 1
Co2 Co 0.000 0.500 0.250 1
As1 As 0.000 0.500 0.750 1
```

Properties
* E_form: 1.5 kJ per mole of atoms
* uncorrected energy: -5.10 eV per atom

The following is a DFT calculation (GGA-PBE) of a relaxed structure of LaPm2TmSe5.

CIF file:
```
data_LaPm2TmSe5
_chemical_formula_sum 'La1 Pm2 Tm1 Se5'
_cell_length_a 5.089
_cell_length_b 5.089
_cell_length_c 11.000
_cell_angle_alpha 90.00
_cell_angle_beta 90.00
_cell_angle_gamma 90.00
_space_group_name_H-M_alt 'P 4/m m m'
_space_group_IT_number 123
_space_group_name_Hall '-P 4 2'
loop_
_atom_site_label
_atom_site_type_symbol
_atom_site_fract_x
_atom_site_fract_y
_atom_site_fract_z
_atom_site_occupancy
La1 La 0.000 0.000 0.000 1
Pm1 Pm 0.500 0.500 0.333 1
Tm1 Tm 0.000 0.000 0.500 1
Se1 Se 0.000 0.000 0.253 1
Se2 Se 0.000 0.500 0.500 1
Se3 Se 0.500 0.500 0.000 1
```

Properties
* formation energy from raw total energies: -1.36 eV/atom
* uncorrected energy: -5.39 eV per atom